! KHoTe3Au | OQMD | PBE | optimized geometry; values from VASP
&SYSTEM
  ibrav = 0, nat = 12, ntyp = 4
/
ATOMIC_SPECIES
Te 127.60 Te.upf
Au 196.97 Au.upf
Ho 164.93 Ho.upf
K 39.10 K.upf
ATOMIC_POSITIONS angstrom
Te 2.1208 -1.3200 2.8077
Te 2.1208 6.2064 6.1911
Te 2.1208 1.3200 8.4232
Te 2.1208 -6.2064 5.0398
Te 2.1208 -6.2064 0.5756
Te 2.1208 6.2064 10.6552
Au 2.1208 -7.8249 2.8077
Au 2.1208 7.8249 8.4232
Ho 2.1208 0.0000 0.0000
Ho 2.1208 0.0000 5.6154
K 2.1208 -4.0022 8.4232
K 2.1208 4.0022 2.8077
CELL_PARAMETERS angstrom
2.1208 -8.3567 0.0000
2.1208 8.3567 0.0000
0.0000 0.0000 11.2309
! * magnetic moment: 0.01 μB/f.u.
! * VASP energy: -3.975 eV per atom